[1]
Sr3LiBiO6: relaxed, GGA-PBEsol.

Structure (extended XYZ):
```
22
Lattice="6.8636 0.0010 0.0010 -0.2763 6.8795 0.0003 -0.2763 -0.3132 6.8724" Properties=species:S:1:pos:R:3 pbc="T T T"
Sr 3.7083 4.8533 6.1642
Sr 6.0685 0.6158 1.7290
Sr 1.4561 2.5577 4.1138
Sr 0.2766 5.9362 5.1285
Sr 4.8879 3.9935 2.7430
Sr 2.6367 1.6986 0.6934
Li 1.4537 5.2354 1.5578
Li 4.8855 1.3182 5.3014
Bi 3.0346 6.7155 3.4287
Bi -0.3972 3.1187 6.8643
O 3.4282 6.2281 1.4046
O 1.2973 0.1727 2.8850
O 2.5849 4.6874 3.8302
O -0.0035 1.1189 6.2851
O 6.0166 3.6131 4.8576
O 4.7291 2.8746 0.3045
O 2.9185 0.3248 5.4524
O 5.0479 6.3790 3.9716
O 3.7582 1.8649 3.0274
O 6.3503 5.4325 0.5734
O 0.3264 2.9388 2.0004
O 1.6161 3.6764 6.5528
```

Output
* energy: -6.12 eV per atom
* E_form (uncorrected): -2189 meV per atom
* space group: C2/c


[2]
LiTi2BiO6: relaxed, GGA-PBEsol.

Structure (extended XYZ):
```
10
Lattice="5.3610 0.0000 0.0000 2.6805 4.6428 0.0000 2.6805 1.5476 4.5302" Properties=species:S:1:pos:R:3 pbc="T T T"
Li 2.6805 1.5476 0.4470
Bi 8.0415 4.6428 2.9761
O 6.4843 2.0286 3.4794
O 3.8757 2.6557 3.4794
O 5.7231 4.6013 3.4794
O 4.8838 1.4981 1.2348
O 6.9828 3.4804 1.2348
O 4.2165 4.3071 1.2348
Ti 2.6805 1.5476 4.3724
Ti 5.3610 3.0952 2.0835
```

Output
* energy: -7.91 eV per atom
* E_form (uncorrected): -2466 meV per atom
* space group: R3


[3]
LiBiW2O8: relaxed, GGA-PBEsol.

Structure (extended XYZ):
```
24
Lattice="-3.5415 3.4437 -0.6922 -3.8334 -3.2835 3.2779 3.3768 4.4462 8.4030" Properties=species:S:1:pos:R:3 pbc="T T T"
Li -0.9486 1.1952 2.7036
Li -3.0495 3.4111 8.2850
Bi -4.3767 1.4974 3.7747
Bi 0.3786 3.1089 7.2140
W -3.2524 2.0923 0.1872
W -0.7458 2.5140 10.8014
W -1.6862 4.1701 4.1002
W -2.3119 0.4362 6.8884
O 0.0281 3.8317 5.0346
O -4.0263 0.7746 5.9540
O 2.4591 3.8679 7.9139
O -6.4573 0.7384 3.0747
O -1.5082 0.0949 5.3120
O -2.4900 4.5114 5.6767
O -3.4176 -0.2986 2.6848
O -0.5806 4.9049 8.3038
O 0.8239 1.6263 3.5353
O -4.8220 2.9800 7.4534
O -1.5603 1.7584 0.8794
O -2.4379 2.8479 10.1093
O -4.1102 2.6028 1.6878
O 0.1121 2.0035 9.3009
O -2.2108 2.4755 3.7817
O -1.7874 2.1308 7.2070
```

Output
* energy: -8.33 eV per atom
* E_form (uncorrected): -2013 meV per atom
* space group: P2/c


[4]
LiReBiOs2: relaxed, GGA-PBEsol.

Structure (extended XYZ):
```
5
Lattice="-3.8177 1.8578 -0.0297 -1.7794 -3.6359 1.2810 0.5361 1.1663 4.0552" Properties=species:S:1:pos:R:3 pbc="T T T"
Re 0.2680 0.5832 2.0276
Os -0.8897 -1.8180 0.6405
Os -1.9088 0.9289 -0.0148
Bi -2.5305 -0.3059 2.6533
Li 0.0000 0.0000 0.0000
```

Output
* energy: -7.19 eV per atom
* formation energy: 1.613 eV per atom
* space group: P4/mmm